# 1
A geometry-optimized InReAu2 structure, computed with PBE.

abc: 2.907 2.907 8.452
angles: 90.00 90.00 90.00
Sites, in units of the cell vectors:
In 0.000 0.000 0.000
Re 0.500 0.500 0.247
Au 0.000 0.000 0.475
Au 0.500 0.500 0.735

Properties
**Symmetry**: P4mm
**Density**: 16.15 g/cm3

=====

# 2
A geometry-optimized InReAu2 structure, computed with PBE.

abc: 6.074 6.074 6.074
angles: 152.81 132.28 55.79
Sites, in units of the cell vectors:
In 0.000 0.000 0.000
Re 0.500 0.500 0.000
Au 0.276 0.776 0.500
Au 0.724 0.224 0.500

Properties
**Symmetry**: Immm
**Density**: 15.32 g/cm3

=====

# 3
A geometry-optimized InRe3Au structure, computed with PBE.

abc: 4.878 4.878 4.878
angles: 90.00 90.00 90.00
Sites, in units of the cell vectors:
In 0.000 0.000 0.000
Re 0.000 0.500 0.500
Re 0.500 0.000 0.500
Re 0.500 0.500 0.000
Au 0.500 0.500 0.500

Properties
**Symmetry**: Pm-3m
**Density**: 12.46 g/cm3

=====

# 4
A geometry-optimized InReAu2 structure, computed with PBE.

abc: 5.225 5.225 5.127
angles: 101.28 101.28 31.74
Sites, in units of the cell vectors:
In 0.000 0.000 0.000
Re 0.500 0.500 0.500
Au 0.241 0.241 0.737
Au 0.759 0.759 0.263

Properties
**Symmetry**: C2/m
**Density**: 16.01 g/cm3

=====

# 5
A geometry-optimized InReAu structure, computed with PBE.

abc: 2.966 2.966 7.022
angles: 90.00 90.00 120.00
Sites, in units of the cell vectors:
In 0.000 0.000 0.000
Re 0.667 0.333 0.331
Au 0.333 0.667 0.653

Properties
**Symmetry**: P3m1
**Density**: 15.46 g/cm3

=====

# 6
A geometry-optimized InReAu2 structure, computed with PBE.

abc: 4.111 4.111 4.211
angles: 90.00 90.00 90.00
Sites, in units of the cell vectors:
In 0.000 0.000 0.000
Re 0.500 0.500 0.000
Au 0.000 0.500 0.500
Au 0.500 0.000 0.500

Properties
**Symmetry**: P4/mmm
**Density**: 16.22 g/cm3

=====

# 7
A geometry-optimized InReAu2 structure, computed with PBE.

abc: 5.189 5.189 2.868
angles: 90.00 90.00 112.92
Sites, in units of the cell vectors:
In 0.000 0.000 0.000
Re 0.500 0.500 0.000
Au 0.000 0.500 0.500
Au 0.500 0.000 0.500

Properties
**Symmetry**: Cmmm
**Density**: 16.23 g/cm3

=====

# 8
A geometry-optimized InReAu2 structure, computed with PBE.

abc: 2.867 4.151 6.001
angles: 90.00 90.00 90.00
Sites, in units of the cell vectors:
In 0.000 0.000 0.000
Re 0.500 0.500 0.242
Au 0.000 0.000 0.480
Au 0.500 0.500 0.734

Properties
**Symmetry**: Pmm2
**Density**: 16.16 g/cm3

=====

Short version: energy of formation from the pure elements = 9.057; 10.325; 63.077; 10.038; 11.686; 10.013; 9.089; 10.366 kcal/mol of atoms, in the order given.